The following is a DFT calculation (PBE-GGA) of a geometry-optimized YHg2Mo structure.

Results
crystal system = tetragonal
formation enthalpy at 0 K = 0.25 eV per atom
E above lowest polymorph = 75 meV/atom
raw total energy = -4.223 eV per atom
space-group type = No. 123

Unit cell a=3.1339 b=3.1339 c=8.5540 alpha=90.00 beta=90.00 gamma=90.02
Closest atoms and distances in Å follow each position.
Fractional coordinates of all 4 atoms:
1 Hg 0.0000 0.0000 0.0183  4 Mo 2.97, 4 Hg 3.13, 4 Y 3.19
2 Hg 0.0000 0.0000 0.4817  4 Mo 2.97, 4 Hg 3.13, 4 Y 3.19
3 Mo 0.5000 0.5000 0.2500  8 Hg 2.97, 4 Mo 3.13
4 Y 0.5000 0.5000 0.7500  4 Y 3.13, 8 Hg 3.19



The following is a DFT calculation (PBE-GGA) of a geometry-optimized Y2HgMo structure.

Results
crystal system = monoclinic
formation enthalpy at 0 K = 0.14 eV per atom
raw total energy = -5.876 eV per atom
space-group type = No. 8

Unit cell a=5.9463 b=5.9463 c=5.3575 alpha=74.10 beta=74.10 gamma=31.83
Closest atoms and distances in Å follow each position.
Fractional coordinates of all 4 atoms:
1 Hg 0.5283 0.5283 0.5246  2 Mo 2.92, 7 Y 3.16-3.26, 2 Hg 3.26
2 Mo 0.2294 0.2294 0.2161  2 Hg 2.92, 6 Y 3.12-3.20, 2 Mo 3.26
3 Y 0.9718 0.9718 0.0612  3 Mo 3.12-3.28, 4 Hg 3.19-3.21, 3 Y 3.26-3.41
4 Y 0.7705 0.7705 0.6981  4 Mo 3.14-3.20, 3 Hg 3.16-3.26, 3 Y 3.26-3.41



The following is a DFT calculation (PBE-GGA) of a geometry-optimized YHgMo2 structure.

Results
crystal system = tetragonal
formation enthalpy at 0 K = 0.61 eV per atom
raw total energy = -6.499 eV per atom
space-group type = No. 123

Unit cell a=2.8699 b=2.8699 c=9.5070 alpha=90.00 beta=90.00 gamma=90.00
Closest atoms and distances in Å follow each position.
Fractional coordinates of all 4 atoms:
1 Hg 0.5000 0.5000 0.7500  4 Hg 2.87, 8 Mo 3.02
2 Mo 0.0000 0.0000 0.9852  4 Mo 2.87, 4 Hg 3.02
3 Mo 0.0000 0.0000 0.5148  4 Mo 2.87, 4 Hg 3.02
4 Y 0.5000 0.5000 0.2500  4 Y 2.87



The following is a DFT calculation (PBE-GGA) of a geometry-optimized YHg2Mo structure.

Results
crystal system = cubic
formation enthalpy at 0 K = 0.48 eV per atom
E above lowest polymorph = 301 meV/atom
raw total energy = -3.997 eV per atom
space-group type = No. 216

Unit cell a=5.0542 b=5.0542 c=5.0542 alpha=60.00 beta=60.00 gamma=60.00
Closest atoms and distances in Å follow each position.
Fractional coordinates of all 4 atoms:
1 Hg 0.0000 0.0000 0.0000  4 Hg 3.10, 4 Y 3.10
2 Hg 0.2500 0.2500 0.2500  4 Hg 3.10, 4 Mo 3.10
3 Mo 0.5000 0.5000 0.5000  4 Y 3.10, 4 Hg 3.10
4 Y 0.7500 0.7500 0.7500  4 Hg 3.10, 4 Mo 3.10



The following is a DFT calculation (PBE-GGA) of a geometry-optimized YHg2Mo structure.

Results
crystal system = tetragonal
formation enthalpy at 0 K = 0.26 eV per atom
E above lowest polymorph = 80 meV/atom
raw total energy = -4.218 eV per atom
space-group type = No. 119

Unit cell a=5.6066 b=5.6066 c=5.6066 alpha=135.31 beta=135.31 gamma=65.05
Closest atoms and distances in Å follow each position.
Fractional coordinates of all 4 atoms:
1 Hg 0.0000 0.0000 0.0000  4 Mo 3.01, 4 Hg 3.18, 4 Y 3.18
2 Hg 0.2500 0.7500 0.5000  4 Y 3.01, 4 Mo 3.18, 4 Hg 3.18
3 Mo 0.5000 0.5000 0.0000  8 Hg 3.01-3.18, 4 Y 3.18
4 Y 0.7500 0.2500 0.5000  8 Hg 3.01-3.18, 4 Mo 3.18



The following is a DFT calculation (PBE-GGA) of a geometry-optimized YHgMo structure.

Results
crystal system = orthorhombic
formation enthalpy at 0 K = 0.33 eV per atom
E above lowest polymorph = 278 meV/atom
raw total energy = -5.538 eV per atom
space-group type = No. 42

Unit cell a=7.1914 b=7.1467 c=3.0665 alpha=78.47 beta=76.84 gamma=24.70
Closest atoms and distances in Å follow each position.
Fractional coordinates of all 3 atoms:
1 Hg 0.9904 0.9904 0.0096  4 Mo 2.96-3.07, 4 Hg 3.07, 2 Y 3.25
2 Mo 0.3374 0.3374 0.6626  4 Hg 2.96-3.07, 4 Mo 3.07, 4 Y 3.08-3.18
3 Y 0.6722 0.6722 0.3278  4 Y 3.07, 4 Mo 3.08-3.18, 4 Hg 3.25-3.35



The following is a DFT calculation (PBE-GGA) of a geometry-optimized YHgMo structure.

Results
crystal system = cubic
formation enthalpy at 0 K = 0.74 eV per atom
E above lowest polymorph = 696 meV/atom
raw total energy = -5.121 eV per atom
space-group type = No. 216

Unit cell a=4.7936 b=4.7936 c=4.7936 alpha=60.00 beta=60.00 gamma=60.00
Closest atoms and distances in Å follow each position.
Fractional coordinates of all 3 atoms:
1 Hg 0.5000 0.5000 0.5000  4 Mo 2.94
2 Mo 0.7500 0.7500 0.7500  4 Y 2.94, 4 Hg 2.94
3 Y 0.0000 0.0000 0.0000  4 Mo 2.94



The following is a DFT calculation (PBE-GGA) of a geometry-optimized YHgMo2 structure.

Results
crystal system = monoclinic
formation enthalpy at 0 K = 0.51 eV per atom
raw total energy = -6.595 eV per atom
space-group type = No. 12

Unit cell a=5.7775 b=5.7775 c=2.8973 alpha=79.11 beta=79.11 gamma=119.68
Closest atoms and distances in Å follow each position.
Fractional coordinates of all 4 atoms:
1 Hg 0.0000 0.5000 0.5000  2 Hg 2.90, 4 Y 2.90-3.24, 4 Mo 2.98
2 Mo 0.0000 0.0000 0.0000  6 Mo 2.90-3.24, 2 Y 2.98, 2 Hg 2.98
3 Mo 0.5000 0.5000 0.0000  6 Mo 2.90-3.24, 2 Hg 2.98, 2 Y 2.98
4 Y 0.5000 0.0000 0.5000  2 Y 2.90, 4 Hg 2.90-3.24, 4 Mo 2.98



The following is a DFT calculation (PBE-GGA) of a geometry-optimized YHgMo2 structure.

Results
crystal system = orthorhombic
formation enthalpy at 0 K = 0.39 eV per atom
raw total energy = -6.713 eV per atom
space-group type = No. 47

Unit cell a=3.5714 b=4.5739 c=4.7877 alpha=90.00 beta=90.00 gamma=90.00
Closest atoms and distances in Å follow each position.
Fractional coordinates of all 4 atoms:
1 Hg 0.0000 0.5000 0.5000  4 Y 2.90, 4 Mo 2.99
2 Mo 0.0000 0.0000 0.0000  4 Mo 2.90, 4 Y 2.99
3 Mo 0.5000 0.5000 0.0000  4 Mo 2.90, 4 Hg 2.99
4 Y 0.5000 0.0000 0.5000  4 Hg 2.90, 4 Mo 2.99



The following is a DFT calculation (PBE-GGA) of a geometry-optimized Y2HgMo structure.

Results
crystal system = trigonal
formation enthalpy at 0 K = 0.20 eV per atom
raw total energy = -5.812 eV per atom
space-group type = No. 166

Unit cell a=9.3834 b=9.3834 c=9.3834 alpha=21.87 beta=21.87 gamma=21.87
Closest atoms and distances in Å follow each position.
Fractional coordinates of all 4 atoms:
1 Hg 0.2500 0.2500 0.2500  6 Y 3.24, 6 Hg 3.56
2 Mo 0.7500 0.7500 0.7500  6 Y 2.92
3 Y 0.0080 0.0080 0.0080  3 Mo 2.92, 3 Hg 3.24
4 Y 0.4920 0.4920 0.4920  3 Mo 2.92, 3 Hg 3.24



The following is a DFT calculation (PBE-GGA) of a geometry-optimized YHg2Mo structure.

Results
crystal system = monoclinic
formation enthalpy at 0 K = 0.18 eV per atom
E above lowest polymorph = 5 meV/atom
raw total energy = -4.293 eV per atom
space-group type = No. 10

Unit cell a=4.2491 b=3.1766 c=7.0283 alpha=62.89 beta=90.00 gamma=90.00
Closest atoms and distances in Å follow each position.
Fractional coordinates of all 4 atoms:
1 Hg 0.0000 0.9784 0.0209  3 Hg 2.87-3.18, 4 Mo 3.01-3.02, 4 Y 3.15
2 Hg 0.0000 0.5216 0.4791  3 Hg 2.87-3.18, 4 Mo 3.01-3.02, 4 Y 3.15
3 Mo 0.5000 0.2500 0.2500  8 Hg 3.01-3.02, 2 Y 3.13, 2 Mo 3.18
4 Y 0.5000 0.7500 0.7500  2 Mo 3.13, 8 Hg 3.15, 2 Y 3.18



The following is a DFT calculation (PBE-GGA) of a geometry-optimized YHgMo2 structure.

Results
crystal system = orthorhombic
formation enthalpy at 0 K = 0.29 eV per atom
raw total energy = -6.820 eV per atom
space-group type = No. 44

Unit cell a=5.4474 b=5.4474 c=4.8991 alpha=63.29 beta=63.29 gamma=39.66
Closest atoms and distances in Å follow each position.
Fractional coordinates of all 4 atoms:
1 Hg 0.2587 0.2587 0.2413  8 Mo 3.08-3.16, 4 Y 3.11-3.16
2 Mo 0.0373 0.0373 0.9627  2 Mo 2.49
3 Mo 0.7230 0.7230 0.7770  2 Mo 2.49
4 Y 0.4809 0.4809 0.5191  8 Mo 2.97-3.28, 4 Hg 3.11-3.16



The following is a DFT calculation (PBE-GGA) of a geometry-optimized YHgMo structure.

Results
crystal system = hexagonal
formation enthalpy at 0 K = 0.39 eV per atom
E above lowest polymorph = 345 meV/atom
raw total energy = -5.471 eV per atom
space-group type = No. 187

Unit cell a=4.9538 b=4.9538 c=3.0849 alpha=90.00 beta=90.00 gamma=120.00
Closest atoms and distances in Å follow each position.
Fractional coordinates of all 3 atoms:
1 Hg 0.0000 0.0000 0.1663  3 Mo 2.86, 2 Hg 3.08
2 Mo 0.6667 0.3333 0.1670  3 Hg 2.86, 2 Mo 3.08
3 Y 0.3333 0.6667 0.6667  2 Y 3.08, 6 Hg 3.25, 6 Mo 3.25



The following is a DFT calculation (PBE-GGA) of a geometry-optimized YHgMo structure.

Results
crystal system = trigonal
formation enthalpy at 0 K = 0.46 eV per atom
E above lowest polymorph = 413 meV/atom
raw total energy = -5.404 eV per atom
space-group type = No. 156

Unit cell a=3.3253 b=3.3253 c=7.1024 alpha=90.00 beta=90.00 gamma=120.00
Closest atoms and distances in Å follow each position.
Fractional coordinates of all 3 atoms:
1 Hg 0.0000 0.0000 0.0180  3 Mo 2.95, 3 Y 3.25
2 Mo 0.6667 0.3333 0.3325  3 Hg 2.95, 3 Y 2.96
3 Y 0.3333 0.6667 0.6495  3 Mo 2.96, 3 Hg 3.25



The following is a DFT calculation (PBE-GGA) of a geometry-optimized YHg2Mo structure.

Results
crystal system = tetragonal
formation enthalpy at 0 K = 0.18 eV per atom
E above lowest polymorph = 2 meV/atom
raw total energy = -4.296 eV per atom
space-group type = No. 123

Unit cell a=4.4560 b=4.4560 c=4.2735 alpha=90.00 beta=90.00 gamma=90.00
Closest atoms and distances in Å follow each position.
Fractional coordinates of all 4 atoms:
1 Hg 0.0000 0.0000 0.0000  4 Mo 3.09, 4 Y 3.09, 4 Hg 3.15
2 Hg 0.5000 0.5000 0.0000  4 Y 3.09, 4 Mo 3.09, 4 Hg 3.15
3 Mo 0.5000 0.0000 0.5000  8 Hg 3.09, 4 Y 3.15
4 Y 0.0000 0.5000 0.5000  8 Hg 3.09, 4 Mo 3.15